## i
Below is a relaxed structure of Hf2VGe4, with properties calculated at the PBE-GGA level.

abc: 5.800 5.459 5.741
angles: 62.32 56.45 61.22
Fractional positions:
1 Hf 0.000 0.000 0.500
2 Hf 0.500 0.500 0.000
3 V 0.003 0.003 0.997
4 Ge 0.071 0.447 0.553
5 Ge 0.447 0.071 0.929
6 Ge 0.541 0.931 0.459
7 Ge 0.931 0.541 0.069

Summary:
The space group is Fmm2 (42). The density of states at the Fermi level comes out at 0.5827 states/eV per atom. For the density, the calculation gives 9.1 g cm⁻³. The value obtained for the magnetization is 0.00 μB per formula unit.

=====

## ii
Below is a relaxed structure of Hf2VGe4, with properties calculated at the PBE-GGA level.

abc: 7.381 7.381 7.381
angles: 142.75 142.75 53.70
Fractional positions:
1 Hf 0.112 0.112 0.000
2 Hf 0.888 0.888 0.000
3 V 0.500 0.500 0.000
4 Ge 0.000 0.500 0.500
5 Ge 0.313 0.313 0.000
6 Ge 0.500 0.000 0.500
7 Ge 0.687 0.687 0.000

Summary:
The space group is I4/mmm (139). The density of states at the Fermi level comes out at 0.6064 states/eV per atom. For the density, the calculation gives 7.9 g cm⁻³. The value obtained for the magnetization is 0.00 μB per formula unit.

=====

i has the most favorable energy; the next structure is 342 meV per atom above.